1.
Compound: Cs2AgI2Br6
Source: the Alexandria database
Functional: PBE
Structure: relaxed

a b c (Å): 7.4272 10.0948 11.1049
angles (deg): 135.93 90.00 111.58
Closest atoms and distances in Å follow each position.
Fractional positions:
Br 0.7003 0.9041 0.2777  1 Ag 2.62
Br 0.2381 0.4762 0.2735  1 I 2.59
Br 0.7962 0.0959 0.7223  1 Ag 2.62
Br 0.7619 0.5238 0.7265  1 I 2.59
I 0.8966 0.7931 0.7189  1 Br 2.59
Cs 0.7494 0.4988 0.1918  6 Br 3.64-3.87
Br 0.2997 0.0959 0.7223  1 Ag 2.62
Br 0.2038 0.9041 0.2777  1 Ag 2.62
Cs 0.2506 0.5012 0.8082  6 Br 3.64-3.87
Ag 0.5000 0.0000 0.5000  4 Br 2.62
I 0.1034 0.2069 0.2811  1 Br 2.59

Calculated values
VASP energy (eV for the cell shown): -25.2
Size of the total moment (Bohr magnetons per cell): 0.0

2.
Compound: Cs2AgI3Br
Source: the Alexandria database
Functional: PBE
Structure: relaxed

a b c (Å): 6.0347 5.7110 10.2109
angles (deg): 106.24 107.19 90.00
Closest atoms and distances in Å follow each position.
Fractional positions:
Ag 0.0000 0.0000 0.0000  4 I 2.86-2.87, 2 Br 3.02
Cs 0.6326 0.6326 0.2651  2 Br 3.78, 7 I 3.90-4.17
I 0.1537 0.1537 0.3074  1 Ag 2.87
Cs 0.3674 0.3674 0.7349  2 Br 3.78, 7 I 3.90-4.17
Br 0.5000 0.0000 0.0000  2 Ag 3.02
I 0.0000 0.5000 0.0000  2 Ag 2.86
I 0.8463 0.8463 0.6926  1 Ag 2.87

Calculated values
VASP energy (eV for the cell shown): -17.8
Size of the total moment (Bohr magnetons per cell): 0.0

3.
Compound: Cs3InAg2Br6
Source: the Alexandria database
Functional: PBE
Structure: relaxed

a b c (Å): 8.7057 8.7057 9.3988
angles (deg): 90.00 90.00 120.00
Closest atoms and distances in Å follow each position.
Fractional positions:
Ag 0.3333 0.6667 0.2363  3 Br 2.60
Cs 0.6667 0.3333 0.3680  1 Ag 3.72, 3 Br 4.16
Br 0.1635 0.3271 0.2834  1 Ag 2.60
Br 0.8365 0.1635 0.7166  1 Ag 2.60
Br 0.8365 0.6729 0.7166  1 Ag 2.60
Br 0.3271 0.1635 0.7166  1 Ag 2.60
Br 0.6729 0.8365 0.2834  1 Ag 2.60
Cs 0.3333 0.6667 0.6320  1 Ag 3.72, 3 Br 4.16
Br 0.1635 0.8365 0.2834  1 Ag 2.60
In 0.0000 0.0000 0.5000  6 Br 3.20
Ag 0.6667 0.3333 0.7637  3 Br 2.60
Cs 0.0000 0.0000 0.0000  6 Br 3.63

Calculated values
VASP energy (eV for the cell shown): -33.6
Size of the total moment (Bohr magnetons per cell): 0.0

4.
Compound: Cs3In2AgBr9
Source: the Alexandria database
Functional: PBE
Structure: relaxed

a b c (Å): 7.9653 7.9653 9.7936
angles (deg): 90.00 90.00 120.00
Closest atoms and distances in Å follow each position.
Fractional positions:
In 0.6667 0.3333 0.8251  6 Br 2.75-2.87
Br 0.8331 0.6663 0.6713  1 In 2.75, 1 Ag 2.85
Br 0.8331 0.1669 0.6713  1 In 2.75, 1 Ag 2.85
In 0.3333 0.6667 0.1749  6 Br 2.75-2.87
Br 0.1669 0.8331 0.3287  1 In 2.75, 1 Ag 2.85
Br 0.5000 0.0000 0.0000  2 In 2.87
Cs 0.3333 0.6667 0.6610  12 Br 3.98-4.04
Br 0.5000 0.5000 0.0000  2 In 2.87
Cs 0.6667 0.3333 0.3390  12 Br 3.98-4.04
Br 0.6663 0.8331 0.3287  1 In 2.75, 1 Ag 2.85
Br 0.1669 0.3337 0.3287  1 In 2.75, 1 Ag 2.85
Br 0.0000 0.5000 0.0000  2 In 2.87
Cs 0.0000 0.0000 0.0000  12 Br 3.96-3.98
Ag 0.0000 0.0000 0.5000  6 Br 2.85
Br 0.3337 0.1669 0.6713  1 In 2.75, 1 Ag 2.85

Calculated values
VASP energy (eV for the cell shown): -43.5
Size of the total moment (Bohr magnetons per cell): 0.0

5.
Compound: CsInAgBr6
Source: the Alexandria database
Functional: PBE
Structure: relaxed

a b c (Å): 7.6082 7.0471 8.0773
angles (deg): 87.30 85.08 57.37
Closest atoms and distances in Å follow each position.
Fractional positions:
Br 0.3752 0.6419 0.3290  1 Ag 2.66, 1 In 2.79
Br 0.6082 0.0060 0.2982  1 Ag 2.65, 1 In 2.77
Ag 0.3320 0.3364 0.5004  4 Br 2.65-2.66
Br 0.9787 0.3834 0.2785  1 In 2.63
Br 0.9832 0.6413 0.6710  1 Ag 2.66, 1 In 2.79
Br 0.6388 0.3818 0.7207  1 In 2.63
Br 0.3863 0.0047 0.7020  1 Ag 2.65, 1 In 2.77
In 0.6772 0.6456 0.4999  6 Br 2.63-2.79
Cs 0.0202 0.9590 0.0001  6 Br 3.66-3.69

Calculated values
VASP energy (eV for the cell shown): -24.0
Size of the total moment (Bohr magnetons per cell): 0.9

6.
Compound: CsInAgBr3
Source: the Alexandria database
Functional: PBE
Structure: relaxed

a b c (Å): 4.7534 11.5256 9.6679
angles (deg): 106.25 90.00 90.00
Closest atoms and distances in Å follow each position.
Fractional positions:
Br 0.2500 0.7256 0.4102  1 Ag 2.64
Ag 0.7500 0.4336 0.8464  4 Br 2.64-2.85
Cs 0.2500 0.2094 0.2077  5 Br 3.59-3.69
Cs 0.7500 0.7906 0.7923  5 Br 3.59-3.69
Br 0.2500 0.5738 0.8734  3 Ag 2.73-2.85
Br 0.7500 0.4262 0.1266  3 Ag 2.73-2.85
Br 0.7500 0.9587 0.1666  1 In 2.78
In 0.7500 0.9055 0.4296  1 Br 2.78
Br 0.2500 0.0413 0.8334  1 In 2.78
Ag 0.2500 0.5664 0.1536  4 Br 2.64-2.85
Br 0.7500 0.2744 0.5898  1 Ag 2.64
In 0.2500 0.0945 0.5704  1 Br 2.78

Calculated values
VASP energy (eV for the cell shown): -33.6
Size of the total moment (Bohr magnetons per cell): 0.0

7.
Compound: CsAgIrBr6
Source: the Alexandria database
Functional: PBE
Structure: relaxed

a b c (Å): 7.0640 7.0640 8.0152
angles (deg): 90.00 90.00 60.00
Closest atoms and distances in Å follow each position.
Fractional positions:
Br 0.6165 0.0368 0.3213  1 Ir 2.50
Cs 0.0000 0.0000 0.0000  6 Br 3.65
Ag 0.6666 0.6667 0.5000  6 Br 2.84
Br 0.3467 0.0368 0.6787  1 Ir 2.50
Br 0.0367 0.3468 0.3213  1 Ir 2.50
Br 0.0367 0.6165 0.6787  1 Ir 2.50
Br 0.6165 0.3468 0.6787  1 Ir 2.50
Br 0.3467 0.6165 0.3213  1 Ir 2.50
Ir 0.3333 0.3333 0.5000  6 Br 2.50

Calculated values
VASP energy (eV for the cell shown): -27.8
Size of the total moment (Bohr magnetons per cell): 0.0

8.
Compound: CsAg2IrBr8
Source: the Alexandria database
Functional: PBE
Structure: relaxed

a b c (Å): 6.4836 6.4868 10.8591
angles (deg): 90.32 90.73 68.58
Closest atoms and distances in Å follow each position.
Fractional positions:
Br 0.7709 0.7701 0.0309  1 Ir 2.49, 1 Ag 2.57
Br 0.2137 0.7440 0.8356  1 Ir 2.49
Br 0.7863 0.2560 0.1644  1 Ir 2.49
Cs 0.0000 0.0000 0.5000  8 Br 3.69-4.12
Ir 0.0000 0.0000 0.0000  6 Br 2.49
Ag 0.3182 0.3175 0.1901  2 Br 2.51-2.57
Br 0.6622 0.6700 0.5794  1 Ag 2.51
Br 0.7414 0.2161 0.8351  1 Ir 2.49
Ag 0.6818 0.6825 0.8099  2 Br 2.51-2.57
Br 0.2291 0.2299 0.9691  1 Ir 2.49, 1 Ag 2.57
Br 0.3378 0.3300 0.4206  1 Ag 2.51
Br 0.2586 0.7839 0.1649  1 Ir 2.49

Calculated values
VASP energy (eV for the cell shown): -34.4
Size of the total moment (Bohr magnetons per cell): 0.0

9.
Compound: Cs2KAg2Br6
Source: the Alexandria database
Functional: PBE
Structure: relaxed

a b c (Å): 7.5212 8.2399 9.3685
angles (deg): 113.66 90.00 117.15
Closest atoms and distances in Å follow each position.
Fractional positions:
Br 0.1969 0.8648 0.1719  1 Ag 2.57
Br 0.7503 0.5006 0.6294  1 Ag 2.55
Cs 0.2826 0.5652 0.7883  7 Br 3.71-3.99
Br 0.6680 0.8648 0.1719  1 Ag 2.57
Br 0.3320 0.1352 0.8281  1 Ag 2.57
Br 0.2497 0.4994 0.3706  1 Ag 2.55
Cs 0.7174 0.4348 0.2117  7 Br 3.71-3.99
Ag 0.9449 0.8898 0.7717  3 Br 2.55-2.57
K 0.5000 0.0000 0.5000  6 Br 3.29-3.31
Br 0.8031 0.1352 0.8281  1 Ag 2.57
Ag 0.0551 0.1102 0.2283  3 Br 2.55-2.57

Calculated values
VASP energy (eV for the cell shown): -30.2
Size of the total moment (Bohr magnetons per cell): 0.0

10.
Compound: CsKAgBr
Source: the Alexandria database
Functional: PBE
Structure: relaxed

a b c (Å): 6.1019 6.1019 6.1019
angles (deg): 60.00 60.00 60.00
Closest atoms and distances in Å follow each position.
Fractional positions:
Br 0.7500 0.7500 0.7500  4 K 3.74, 4 Cs 3.74
K 0.0000 0.0000 0.0000  4 Br 3.74, 4 Ag 3.74
Ag 0.2500 0.2500 0.2500  4 K 3.74, 4 Cs 3.74
Cs 0.5000 0.5000 0.5000  4 Ag 3.74, 4 Br 3.74

Calculated values
VASP energy (eV for the cell shown): -9.5
Size of the total moment (Bohr magnetons per cell): 0.0

11.
Compound: CsKAgBr4
Source: the Alexandria database
Functional: PBE
Structure: relaxed

a b c (Å): 7.6858 7.7300 9.5172
angles (deg): 90.00 113.81 90.00
Closest atoms and distances in Å follow each position.
Fractional positions:
K 0.3824 0.2500 0.7649  9 Br 3.56-3.90
Br 0.5000 0.0000 0.5000  2 Ag 2.73
Br 0.0963 0.7500 0.1926  1 Ag 2.74
Cs 0.1061 0.2500 0.2121  9 Br 3.52-3.87
Br 0.4131 0.7500 0.8262  1 Ag 2.77
Ag 0.2538 0.7500 0.5076  6 Br 2.73-2.77
Br 0.0000 0.5000 0.5000  2 Ag 2.73
Br 0.5869 0.2500 0.1738  1 Ag 2.77
Cs 0.8939 0.7500 0.7879  9 Br 3.52-3.87
Br 0.5000 0.5000 0.5000  2 Ag 2.73
Br 0.9037 0.2500 0.8074  1 Ag 2.74
Ag 0.7462 0.2500 0.4924  6 Br 2.73-2.77
Br 0.0000 0.0000 0.5000  2 Ag 2.73
K 0.6176 0.7500 0.2351  9 Br 3.56-3.90

Calculated values
VASP energy (eV for the cell shown): -38.5
Size of the total moment (Bohr magnetons per cell): 0.0

12.
Compound: Cs4KAg3Br12
Source: the Alexandria database
Functional: PBE
Structure: relaxed

a b c (Å): 9.7778 9.7778 9.7778
angles (deg): 109.47 109.47 109.47
Closest atoms and distances in Å follow each position.
Fractional positions:
K 0.0000 0.0000 0.0000  6 Br 3.09
Ag 0.5000 0.5000 0.0000  6 Br 2.56-2.82
Br 0.7266 0.7266 0.0000  1 Ag 2.56
Cs 0.5000 0.5000 0.5000  12 Br 3.99-4.00
Cs 0.0000 0.0000 0.5000  12 Br 3.99-4.00
Br 0.2500 0.5000 0.7500  2 Ag 2.82
Br 0.0000 0.7266 0.7266  1 Ag 2.56
Br 0.2734 0.0000 0.2734  1 Ag 2.56
Ag 0.0000 0.5000 0.5000  6 Br 2.56-2.82
Ag 0.5000 0.0000 0.5000  6 Br 2.56-2.82
Br 0.7500 0.5000 0.2500  2 Ag 2.82
Cs 0.5000 0.0000 0.0000  12 Br 3.99-4.00
Br 0.2734 0.2734 0.0000  1 Ag 2.56
Cs 0.0000 0.5000 0.0000  12 Br 3.99-4.00
Br 0.5000 0.7500 0.2500  2 Ag 2.82
Br 0.5000 0.2500 0.7500  2 Ag 2.82
Br 0.2500 0.7500 0.5000  2 Ag 2.82
Br 0.7500 0.2500 0.5000  2 Ag 2.82
Br 0.7266 0.0000 0.7266  1 Ag 2.56
Br 0.0000 0.2734 0.2734  1 Ag 2.56

Calculated values
VASP energy (eV for the cell shown): -53.0
Size of the total moment (Bohr magnetons per cell): 0.0

Number 1: density 3740 kg/m³. Number 2: density 4310 kg/m³. Number 3: density 3254 kg/m³. Number 4: density 4491 kg/m³. Number 5: density 3816 kg/m³. Number 6: density 3888 kg/m³. Number 7: density 4374 kg/m³. Number 8: density 4609 kg/m³. Number 9: density 3602 kg/m³. Number 10: density 3719 kg/m³. Number 11: density 3849 kg/m³. Number 12: density 4276 kg/m³.